A plane-wave DFT calculation with PBE was carried out for an optimized crystal structure of ZnRuAu2.

Cell and atoms, written as CIF:
```
data_ZnRuAu2
_chemical_formula_sum 'Zn2 Ru2 Au4'
_cell_length_a 2.838
_cell_length_b 4.793
_cell_length_c 9.504
_cell_angle_alpha 90.00
_cell_angle_beta 90.00
_cell_angle_gamma 90.00
_symmetry_space_group_name_H-M 'I m m 2'
_symmetry_Int_Tables_number 44
_symmetry_space_group_name_Hall 'I 2 -2'
loop_
_atom_site_label
_atom_site_fract_x
_atom_site_fract_y
_atom_site_fract_z
Zn1 0.000 0.000 0.000
Ru1 0.000 0.500 0.268
Au1 0.000 0.000 0.510
Au2 0.000 0.500 0.742
```

Calculated values
E_form (meV/atom): 167.8
Raw total energy (eV/cell): -32.87
Size of the total moment (μB/f.u.): 0.56


A plane-wave DFT calculation with PBE was carried out for an optimized crystal structure of Zn2RuAu.

Cell and atoms, written as CIF:
```
data_Zn2RuAu
_chemical_formula_sum 'Zn2 Ru1 Au1'
_cell_length_a 3.168
_cell_length_b 3.168
_cell_length_c 5.962
_cell_angle_alpha 90.00
_cell_angle_beta 90.00
_cell_angle_gamma 90.00
_symmetry_space_group_name_H-M 'P 4/m m m'
_symmetry_Int_Tables_number 123
_symmetry_space_group_name_Hall '-P 4 2'
loop_
_atom_site_label
_atom_site_fract_x
_atom_site_fract_y
_atom_site_fract_z
Zn1 0.000 0.000 0.228
Ru1 0.500 0.500 0.000
Au1 0.500 0.500 0.500
```

Calculated values
E_form (meV/atom): -79.3
Raw total energy (eV/cell): -15.42
Size of the total moment (μB/f.u.): 0.00


A plane-wave DFT calculation with PBE was carried out for an optimized crystal structure of Zn2RuAu.

Cell and atoms, written as CIF:
```
data_Zn2RuAu
_chemical_formula_sum 'Zn2 Ru1 Au1'
_cell_length_a 2.767
_cell_length_b 4.228
_cell_length_c 5.312
_cell_angle_alpha 90.00
_cell_angle_beta 104.79
_cell_angle_gamma 90.00
_symmetry_space_group_name_H-M 'P 1 m 1'
_symmetry_Int_Tables_number 6
_symmetry_space_group_name_Hall 'P -2y'
loop_
_atom_site_label
_atom_site_fract_x
_atom_site_fract_y
_atom_site_fract_z
Zn1 0.000 0.000 0.000
Zn2 0.145 0.500 0.291
Ru1 0.412 0.500 0.822
Au1 0.748 0.000 0.496
```

Calculated values
E_form (meV/atom): 16.4
Raw total energy (eV/cell): -15.04
Size of the total moment (μB/f.u.): 0.01


- What is the E_form in the second record?
  -79.3 meV/atom


Please write out number 2 again, unchanged.
A plane-wave DFT calculation with PBE was carried out for an optimized crystal structure of Zn2RuAu.

Cell and atoms, written as CIF:
```
data_Zn2RuAu
_chemical_formula_sum 'Zn2 Ru1 Au1'
_cell_length_a 3.168
_cell_length_b 3.168
_cell_length_c 5.962
_cell_angle_alpha 90.00
_cell_angle_beta 90.00
_cell_angle_gamma 90.00
_symmetry_space_group_name_H-M 'P 4/m m m'
_symmetry_Int_Tables_number 123
_symmetry_space_group_name_Hall '-P 4 2'
loop_
_atom_site_label
_atom_site_fract_x
_atom_site_fract_y
_atom_site_fract_z
Zn1 0.000 0.000 0.228
Ru1 0.500 0.500 0.000
Au1 0.500 0.500 0.500
```

Calculated values
E_form (meV/atom): -79.3
Raw total energy (eV/cell): -15.42
Size of the total moment (μB/f.u.): 0.00


- The lowest raw total energy belongs to which entry?
  ZnRuAu2


- Among the records above, which one has the lowest E_form?
  number 2